This record from the Alexandria database describes a geometry-optimized Ac2Ge3Ir4Rh structure. The functional is PBE.

The structure belongs to space group P-4m2 (No. 115); the cell edges are 4.331, 4.331 and 10.540 Å and the angles 90.00°, 90.00° and 90.00°. Symmetry generates all atoms from Ac at (0.000, 0.500, 0.248), Ge at (0.000, 0.000, 0.000), Ge at (0.000, 0.500, 0.627), Ir at (0.000, 0.000, 0.500), Ir at (0.000, 0.500, 0.867), Ir at (0.500, 0.500, 0.500) and Rh at (0.500, 0.500, 0.000).

Its total energy is -7.12 eV per atom. The calculation puts the calculated volume at 19.77 A^3/atom.